# 1
DFT (meta-GGA SCAN) results for La8Te3SeO8 at its PBEsol-relaxed geometry.

* crystal system: tetragonal
* final energy: -593.38 eV per formula unit

Structure (POSCAR):
```
La8Te3SeO8
1.0
4.0549 0.0000 0.0000
0.0000 4.0549 0.0000
0.0000 0.0000 25.7503
La Te Se O
8 3 1 8
direct
0.5000 0.5000 0.0741 La
0.0000 0.0000 0.3268 La
0.5000 0.5000 0.5797 La
0.0000 0.0000 0.8325 La
0.0000 0.0000 0.1675 La
0.5000 0.5000 0.4203 La
0.0000 0.0000 0.6732 La
0.5000 0.5000 0.9259 La
0.5000 0.5000 0.2472 Te
0.0000 0.0000 0.5000 Te
0.5000 0.5000 0.7528 Te
0.0000 0.0000 0.0000 Se
0.5000 0.0000 0.1208 O
0.0000 0.5000 0.3735 O
0.5000 0.0000 0.6265 O
0.0000 0.5000 0.8792 O
0.0000 0.5000 0.1208 O
0.5000 0.0000 0.3735 O
0.0000 0.5000 0.6265 O
0.5000 0.0000 0.8792 O
```


# 2
DFT (meta-GGA SCAN) results for LaTi2SeO at its PBEsol-relaxed geometry.

* crystal system: tetragonal
* final energy: -101.62 eV per formula unit

Structure (POSCAR):
```
LaTi2SeO
1.0
4.6471 0.0000 0.0000
0.0000 4.6471 0.0000
0.0000 0.0000 4.7700
Ti O Se La
2 1 1 1
direct
0.0000 0.5000 0.0000 Ti
0.5000 0.0000 0.0000 Ti
0.0000 0.0000 0.5000 O
0.0000 0.0000 0.0000 Se
0.5000 0.5000 0.5000 La
```


# 3
DFT (meta-GGA SCAN) results for La2ZnSe2O2 at its PBEsol-relaxed geometry.

* crystal system: orthorhombic
* final energy: -171.10 eV per formula unit

Structure (POSCAR):
```
La2ZnSe2O2
1.0
-4.5629 -1.1136 3.2092
-1.3217 -12.8235 -6.3290
8.5304 -2.3609 11.3095
La Zn Se O
16 8 16 16
direct
0.2500 0.0698 0.5698 La
0.7500 0.4302 0.9302 La
0.7500 0.9302 0.4302 La
0.2500 0.5698 0.0698 La
0.7274 0.6796 0.6796 La
0.2726 0.3204 0.3204 La
0.2274 0.8204 0.8204 La
0.7726 0.1796 0.1796 La
0.2322 0.5555 0.8054 La
0.7678 0.1946 0.4445 La
0.7322 0.6946 0.9445 La
0.2678 0.0555 0.3054 La
0.7678 0.4445 0.1946 La
0.2322 0.8054 0.5555 La
0.2678 0.3054 0.0555 La
0.7322 0.9445 0.6946 La
0.5000 0.9307 0.0693 Zn
0.0000 0.4307 0.5693 Zn
0.5000 0.0693 0.9307 Zn
0.0000 0.5693 0.4307 Zn
0.5000 0.6894 0.3106 Zn
0.0000 0.1894 0.8106 Zn
0.5000 0.3106 0.6894 Zn
0.0000 0.8106 0.1894 Zn
0.2500 0.8341 0.3341 Se
0.7500 0.6659 0.1659 Se
0.7500 0.1659 0.6659 Se
0.2500 0.3341 0.8341 Se
0.7181 0.9167 0.9167 Se
0.2819 0.0833 0.0833 Se
0.2181 0.5833 0.5833 Se
0.7819 0.4167 0.4167 Se
0.2379 0.7900 0.0421 Se
0.7621 0.9579 0.2100 Se
0.7379 0.4579 0.7100 Se
0.2621 0.2900 0.5421 Se
0.7621 0.2100 0.9579 Se
0.2379 0.0421 0.7900 Se
0.2621 0.5421 0.2900 Se
0.7379 0.7100 0.4579 Se
0.9917 0.5651 0.9400 O
0.0083 0.0600 0.4349 O
0.4917 0.5600 0.9349 O
0.5083 0.0651 0.4400 O
0.0083 0.4349 0.0600 O
0.9917 0.9400 0.5651 O
0.5083 0.4400 0.0651 O
0.4917 0.9349 0.5600 O
0.9781 0.8125 0.6874 O
0.0219 0.3126 0.1875 O
0.4781 0.8126 0.6875 O
0.5219 0.3125 0.1874 O
0.0219 0.1875 0.3126 O
0.9781 0.6874 0.8125 O
0.5219 0.1874 0.3125 O
0.4781 0.6875 0.8126 O
```


# 4
DFT (meta-GGA SCAN) results for LaSi2O at its PBEsol-relaxed geometry.

* crystal system: tetragonal
* final energy: -71.58 eV per formula unit

Structure (POSCAR):
```
LaSi2O
1.0
4.7227 0.0000 0.0000
0.0000 4.7227 0.0000
-2.3613 -2.3613 6.8644
Si O La
4 2 2
direct
0.5893 0.3750 0.2500 Si
0.6607 0.8750 0.2500 Si
0.6250 0.3393 0.7500 Si
0.1250 0.4107 0.7500 Si
0.7500 0.2500 0.5000 O
0.5000 0.5000 0.0000 O
0.2500 0.7500 0.5000 La
0.0000 0.0000 0.0000 La
```


# 5
DFT (meta-GGA SCAN) results for LaSi3O at its PBEsol-relaxed geometry.

* distance to the lowest polymorph of the same formula: 2239 meV per atom
* crystal system: cubic
* final energy: -69.45 eV per formula unit

Structure (POSCAR):
```
LaSi3O
1.0
-2.6098 2.1175 -4.3487
2.0524 -3.9896 -3.1743
-4.3797 -3.1313 1.1037
Si O La
3 1 1
direct
0.0000 0.5000 0.0000 Si
0.0000 0.0000 0.5000 Si
0.5000 0.0000 0.0000 Si
0.5000 0.5000 0.5000 O
0.0000 0.0000 0.0000 La
```


# 6
DFT (meta-GGA SCAN) results for LaSi3O at its PBEsol-relaxed geometry.

* distance to the lowest polymorph of the same formula: 0 meV per atom
* crystal system: cubic
* final energy: -80.64 eV per formula unit

Structure (POSCAR):
```
LaSi3O
1.0
4.3643 0.0000 0.0000
0.0000 4.3643 0.0000
0.0000 0.0000 4.3643
Si O La
3 1 1
direct
0.0000 0.5000 0.0000 Si
0.0000 0.0000 0.5000 Si
0.5000 0.0000 0.0000 Si
0.0000 0.0000 0.0000 O
0.5000 0.5000 0.5000 La
```


# 7
DFT (meta-GGA SCAN) results for LaSi2O2 at its PBEsol-relaxed geometry.

* crystal system: tetragonal
* final energy: -79.10 eV per formula unit

Structure (POSCAR):
```
LaSi2O2
1.0
4.1940 0.0000 0.0000
0.0000 4.1940 0.0000
-2.0970 -2.0970 4.0951
Si O La
2 2 1
direct
0.3568 0.3568 0.7136 Si
0.6432 0.6432 0.2864 Si
0.2500 0.7500 0.5000 O
0.7500 0.2500 0.5000 O
0.0000 0.0000 0.0000 La
```


# 8
DFT (meta-GGA SCAN) results for La2SnO2 at its PBEsol-relaxed geometry.

* crystal system: tetragonal
* final energy: -148.56 eV per formula unit

Structure (POSCAR):
```
La2SnO2
1.0
-3.9489 0.0828 -0.3764
0.3743 -0.0998 -3.9487
1.6180 -7.2978 2.3311
Sn O La
1 2 2
direct
0.0000 0.0000 0.0000 Sn
0.2500 0.7500 0.5000 O
0.7500 0.2500 0.5000 O
0.3344 0.3344 0.6688 La
0.6656 0.6656 0.3312 La
```


# 9
DFT (meta-GGA SCAN) results for Sr3La4O9 at its PBEsol-relaxed geometry.

* distance to the lowest polymorph of the same formula: 0 meV per atom
* crystal system: monoclinic
* final energy: -350.24 eV per formula unit

Structure (POSCAR):
```
Sr3La4O9
1.0
-6.2720 -2.6942 0.8037
2.2707 0.6502 -6.4548
6.6689 -10.0703 3.5322
Sr O La
6 18 8
direct
0.4577 0.9599 0.5516 Sr
0.4607 0.0521 0.8287 Sr
0.5917 0.5939 0.0516 Sr
0.2831 0.3712 0.4973 Sr
0.7766 0.8680 0.3287 Sr
0.1261 0.7142 0.9973 Sr
0.0759 0.3888 0.0964 O
0.3018 0.6597 0.6587 O
0.7289 0.4529 0.8967 O
0.0308 0.7725 0.4494 O
0.3524 0.1468 0.0256 O
0.0312 0.8272 0.8036 O
0.6674 0.4567 0.2352 O
0.9990 0.8569 0.1587 O
0.3289 0.1906 0.6732 O
0.4438 0.6678 0.3967 O
0.6769 0.9186 0.9494 O
0.2452 0.4841 0.8704 O
0.8788 0.1732 0.5256 O
0.9764 0.2723 0.3036 O
0.7786 0.0679 0.7352 O
0.4826 0.8444 0.1732 O
0.3863 0.1252 0.3704 O
0.7076 0.5205 0.5964 O
0.7035 0.1642 0.1209 La
0.1855 0.7121 0.2762 La
0.9566 0.9173 0.6209 La
0.2616 0.2368 0.2121 La
0.5642 0.5908 0.7762 La
0.0277 0.1451 0.9161 La
0.9753 0.4506 0.7121 La
0.7709 0.3883 0.4161 La
```


# 10
DFT (meta-GGA SCAN) results for Sr3La4O9 at its PBEsol-relaxed geometry.

* distance to the lowest polymorph of the same formula: 76 meV per atom
* crystal system: trigonal
* final energy: -349.03 eV per formula unit

Structure (POSCAR):
```
Sr3La4O9
1.0
6.1494 0.0000 0.0000
3.0747 5.3255 0.0000
3.0747 1.7752 8.8782
Sr La O
3 4 9
direct
0.8173 0.8173 0.5482 Sr
0.9969 0.9969 0.0093 Sr
0.4297 0.4297 0.7108 Sr
0.6887 0.6887 0.9338 La
0.5612 0.5612 0.3164 La
0.1245 0.1245 0.6266 La
0.2555 0.2555 0.2336 La
0.4111 0.0232 0.7799 O
0.0232 0.7859 0.7799 O
0.7859 0.4111 0.7799 O
0.4620 0.8469 0.4635 O
0.6031 0.9380 0.1217 O
0.3372 0.6031 0.1217 O
0.2275 0.4620 0.4635 O
0.9380 0.3372 0.1217 O
0.8469 0.2275 0.4635 O
```


# 11
DFT (meta-GGA SCAN) results for Sr2LaTa3O11 at its PBEsol-relaxed geometry.

* crystal system: orthorhombic
* final energy: -413.07 eV per formula unit

Structure (POSCAR):
```
Sr2LaTa3O11
1.0
3.9437 0.0000 0.0000
0.0000 5.6865 0.0000
-1.9718 -2.8432 10.7931
Sr La Ta O
2 1 3 11
direct
0.2054 0.2054 0.4108 Sr
0.7946 0.7946 0.5892 Sr
0.0000 0.5000 0.0000 La
0.6350 0.6350 0.2699 Ta
0.3650 0.3650 0.7301 Ta
0.5000 0.0000 0.0000 Ta
0.5594 0.3242 0.1188 O
0.5594 0.7947 0.1188 O
0.3051 0.0660 0.6101 O
0.6949 0.4559 0.3899 O
0.4406 0.6758 0.8812 O
0.4406 0.2053 0.8812 O
0.0000 0.0000 0.0000 O
0.1197 0.6197 0.2395 O
0.8803 0.3803 0.7605 O
0.6949 0.9340 0.3899 O
0.3051 0.5441 0.6101 O
```


# 12
DFT (meta-GGA SCAN) results for SrLa2TlO at its PBEsol-relaxed geometry.

* crystal system: tetragonal
* final energy: -185.46 eV per formula unit

Structure (POSCAR):
```
SrLa2TlO
1.0
-2.0034 5.3258 1.7002
-1.6769 -2.2953 5.2142
5.4276 1.3016 2.3184
Sr Tl O La
1 1 1 2
direct
0.0000 0.0000 0.5000 Sr
0.0000 0.0000 0.0000 Tl
0.5000 0.5000 0.5000 O
0.0000 0.5000 0.0000 La
0.5000 0.0000 0.0000 La
```


# 13
DFT (meta-GGA SCAN) results for SrLaVO4 at its PBEsol-relaxed geometry.

* distance to the lowest polymorph of the same formula: 5 meV per atom
* crystal system: orthorhombic
* final energy: -130.51 eV per formula unit

Structure (POSCAR):
```
SrLaVO4
1.0
5.4153 0.0000 0.0000
0.0000 5.4278 0.0000
-2.7076 0.0000 6.2340
Sr La V O
2 2 2 8
direct
0.6047 0.2500 0.2093 Sr
0.3953 0.7500 0.7907 Sr
0.1113 0.7500 0.2225 La
0.8887 0.2500 0.7775 La
0.2507 0.2500 0.5014 V
0.7493 0.7500 0.4986 V
0.9221 0.7500 0.8443 O
0.0779 0.2500 0.1557 O
0.4117 0.2500 0.8235 O
0.5883 0.7500 0.1765 O
0.0000 0.0000 0.5000 O
0.5000 0.5000 0.5000 O
0.0000 0.5000 0.5000 O
0.5000 0.0000 0.5000 O
```


# 14
DFT (meta-GGA SCAN) results for SrLaVO4 at its PBEsol-relaxed geometry.

* distance to the lowest polymorph of the same formula: 0 meV per atom
* crystal system: tetragonal
* final energy: -130.54 eV per formula unit

Structure (POSCAR):
```
SrLaVO4
1.0
3.8375 0.0000 0.0000
0.0000 3.8375 0.0000
-1.9187 -1.9187 6.2183
Sr V O La
1 1 4 1
direct
0.6415 0.6415 0.2831 Sr
0.0006 0.0006 0.0013 V
0.8350 0.8350 0.6701 O
0.1689 0.1689 0.3378 O
0.4948 0.9948 0.9897 O
0.9948 0.4948 0.9897 O
0.3568 0.3568 0.7137 La
```


# 15
DFT (meta-GGA SCAN) results for SrLa2WO7 at its PBEsol-relaxed geometry.

* crystal system: monoclinic
* final energy: -257.97 eV per formula unit

Structure (POSCAR):
```
SrLa2WO7
1.0
5.7516 0.0000 0.0000
0.0000 8.7669 0.0016
0.0000 -3.2745 12.1549
Sr La W O
4 8 4 28
direct
0.4884 0.5125 0.8654 Sr
0.9884 0.4875 0.6346 Sr
0.5116 0.4875 0.1346 Sr
0.0116 0.5125 0.3654 Sr
0.9843 0.7998 0.9164 La
0.4843 0.2002 0.5836 La
0.0157 0.2002 0.0836 La
0.5157 0.7998 0.4164 La
0.4852 0.9298 0.1304 La
0.9852 0.0702 0.3696 La
0.5148 0.0702 0.8696 La
0.0148 0.9298 0.6304 La
0.4628 0.7129 0.6635 W
0.9628 0.2871 0.8365 W
0.5372 0.2871 0.3365 W
0.0372 0.7129 0.1635 W
0.4476 0.4972 0.6647 O
0.9476 0.5028 0.8353 O
0.5524 0.5028 0.3353 O
0.0524 0.4972 0.1647 O
0.4476 0.9393 0.6771 O
0.9476 0.0607 0.8229 O
0.5524 0.0607 0.3229 O
0.0524 0.9393 0.1771 O
0.7309 0.6942 0.5726 O
0.2309 0.3058 0.9274 O
0.2691 0.3058 0.4274 O
0.7691 0.6942 0.0726 O
0.1575 0.7423 0.7406 O
0.6575 0.2577 0.7594 O
0.8425 0.2577 0.2594 O
0.3425 0.7423 0.2406 O
0.2563 0.6812 0.5341 O
0.7563 0.3188 0.9659 O
0.7437 0.3188 0.4659 O
0.2437 0.6812 0.0341 O
0.6158 0.7614 0.8030 O
0.1158 0.2386 0.6970 O
0.3842 0.2386 0.1970 O
0.8842 0.7614 0.3030 O
0.2596 0.9947 0.9895 O
0.7596 0.0053 0.5105 O
0.7404 0.0053 0.0105 O
0.2404 0.9947 0.4895 O
```


# 16
DFT (meta-GGA SCAN) results for LaTaO4 at its PBEsol-relaxed geometry.

* crystal system: orthorhombic
* final energy: -155.71 eV per formula unit

Structure (POSCAR):
```
LaTaO4
1.0
-2.2697 0.6560 3.1594
4.0880 -1.8816 3.3275
3.8382 6.4800 -1.0512
La Ta O
2 2 8
direct
0.8268 0.1680 0.6536 La
0.1732 0.6680 0.3464 La
0.5857 0.2171 0.1714 Ta
0.4143 0.7171 0.8286 Ta
0.9121 0.7498 0.8241 O
0.0879 0.2498 0.1759 O
0.4692 0.0592 0.9385 O
0.5308 0.5592 0.0615 O
0.6996 0.4252 0.3993 O
0.3004 0.9252 0.6007 O
0.6651 0.9472 0.3303 O
0.3349 0.4472 0.6697 O
```


# 17
DFT (meta-GGA SCAN) results for LaTa3O9 at its PBEsol-relaxed geometry.

* distance to the lowest polymorph of the same formula: 14 meV per atom
* crystal system: monoclinic
* final energy: -341.44 eV per formula unit

Structure (POSCAR):
```
LaTa3O9
1.0
-0.9889 5.4277 0.5204
-3.7665 2.8510 -7.3877
-8.7244 1.1681 0.7437
La Ta O
2 6 18
direct
0.6683 0.6643 0.9992 La
0.3317 0.3357 0.0008 La
0.4157 0.9171 0.2515 Ta
0.2521 0.7599 0.7359 Ta
0.0767 0.5878 0.2588 Ta
0.9233 0.4122 0.7412 Ta
0.7479 0.2401 0.2641 Ta
0.5843 0.0829 0.7485 Ta
0.4243 0.9023 0.7682 O
0.3349 0.8337 0.4966 O
0.5000 0.0000 0.0000 O
0.5756 0.5757 0.7725 O
0.9052 0.9023 0.7682 O
0.7500 0.7492 0.2310 O
0.7302 0.2508 0.7690 O
0.0761 0.5757 0.7725 O
0.2698 0.7492 0.2310 O
0.0000 0.5000 0.5000 O
0.9239 0.4243 0.2275 O
0.8244 0.3510 0.0002 O
0.1756 0.6490 0.9998 O
0.2500 0.2508 0.7690 O
0.0948 0.0977 0.2318 O
0.4244 0.4243 0.2275 O
0.5757 0.0977 0.2318 O
0.6651 0.1663 0.5034 O
```


What did we get for mass density? Answer: 6.7, 5.3, 6.2, 4.6, 2.4, 4.8, 5.2, 6.2, 6.3, 5.5, 7.1, 4.6, 6.2, 6.2, 7.2, 7.9, 7.5 g cm⁻³, in the order shown.
What did we get for energy relative to the elements, uncorrected? Answer: -3.3427, -0.0299, -2.6798, -0.5534, 1.9872, -0.2518, -0.7001, -2.7927, -3.4323, -3.3562, -3.3601, 0.3230, -3.2449, -3.2495, -3.2891, -3.5161, -3.2695 eV per atom, in the order shown.